Record 1
VASP calculation (PBE) on In2Pd5Rh after structural relaxation. Values from VASP.

Geometry as Quantum ESPRESSO input:
```
&SYSTEM
  ibrav = 0, nat = 16, ntyp = 3
/
ATOMIC_SPECIES
Pd 106.42 Pd.upf
In 114.82 In.upf
Rh 102.91 Rh.upf
ATOMIC_POSITIONS crystal
Pd 0.000 0.000 0.000
Pd 0.000 0.500 0.500
Pd 0.000 0.502 0.250
Pd 0.500 0.749 0.124
Pd 0.000 0.998 0.750
Pd 0.500 0.751 0.624
Pd 0.000 0.002 0.250
Pd 0.000 0.498 0.750
Pd 0.500 0.249 0.376
Pd 0.500 0.251 0.876
In 0.500 0.749 0.875
In 0.500 0.251 0.125
In 0.500 0.249 0.625
In 0.500 0.751 0.375
Rh 0.000 0.500 0.000
Rh 0.000 0.000 0.500
CELL_PARAMETERS angstrom
3.973 0.000 0.000
0.000 5.728 0.000
0.000 0.000 11.448
```

Calculated values
The formation enthalpy at 0 K comes out at -0.35 eV per atom.

***

Record 2
VASP calculation (PBE) on YHo3Er6Sc2 after structural relaxation. Values from VASP.

Geometry as Quantum ESPRESSO input:
```
&SYSTEM
  ibrav = 0, nat = 12, ntyp = 4
/
ATOMIC_SPECIES
Y 88.91 Y.upf
Er 167.26 Er.upf
Ho 164.93 Ho.upf
Sc 44.96 Sc.upf
ATOMIC_POSITIONS crystal
Y 0.000 0.000 0.000
Er 0.581 0.918 0.754
Er 0.254 0.254 0.754
Er 0.746 0.746 0.246
Er 0.082 0.419 0.246
Er 0.918 0.581 0.754
Er 0.419 0.082 0.246
Ho 0.833 0.167 0.500
Ho 0.500 0.500 0.500
Ho 0.167 0.833 0.500
Sc 0.667 0.333 0.000
Sc 0.333 0.667 0.000
CELL_PARAMETERS angstrom
-3.047 -5.139 0.773
5.194 -0.015 -3.051
4.943 -0.192 10.395
```

Calculated values
The formation enthalpy at 0 K comes out at 0.04 eV per atom.

***

Record 3
VASP calculation (PBE) on Al12Zn3Ge after structural relaxation. Values from VASP.

Geometry as Quantum ESPRESSO input:
```
&SYSTEM
  ibrav = 0, nat = 16, ntyp = 3
/
ATOMIC_SPECIES
Al 26.98 Al.upf
Zn 65.41 Zn.upf
Ge 72.64 Ge.upf
ATOMIC_POSITIONS crystal
Al 0.000 0.500 0.131
Al 0.500 0.500 0.000
Al 0.500 0.000 0.377
Al 0.000 0.500 0.869
Al 0.500 0.500 0.255
Al 0.500 0.500 0.500
Al 0.500 0.000 0.131
Al 0.500 0.000 0.623
Al 0.000 0.500 0.623
Al 0.000 0.500 0.377
Al 0.500 0.500 0.745
Al 0.500 0.000 0.869
Zn 0.000 0.000 0.747
Zn 0.000 0.000 0.500
Zn 0.000 0.000 0.253
Ge 0.000 0.000 0.000
CELL_PARAMETERS angstrom
4.102 0.000 0.000
0.000 4.102 0.000
0.000 0.000 15.676
```

Calculated values
The formation enthalpy at 0 K comes out at 0.04 eV per atom.

***

Record 4
VASP calculation (PBE) on PdRu2Cl8 after structural relaxation. Values from VASP.

Geometry as Quantum ESPRESSO input:
```
&SYSTEM
  ibrav = 0, nat = 11, ntyp = 3
/
ATOMIC_SPECIES
Cl 35.45 Cl.upf
Pd 106.42 Pd.upf
Ru 101.07 Ru.upf
ATOMIC_POSITIONS crystal
Cl 0.236 0.162 0.323
Cl 0.189 0.667 0.333
Cl 0.765 0.839 0.162
Cl 0.764 0.323 0.162
Cl 0.235 0.161 0.838
Cl 0.236 0.677 0.838
Cl 0.811 0.333 0.667
Cl 0.764 0.838 0.677
Pd 0.000 0.000 0.000
Ru 0.843 0.666 0.332
Ru 0.157 0.334 0.667
CELL_PARAMETERS angstrom
-1.163 -3.236 -5.415
7.145 0.384 -1.766
-2.526 -5.678 3.942
```

Calculated values
For the uncorrected formation energy, the calculation gives -0.201 eV/atom.

***

Record 5
VASP calculation (PBE) on Ca5CdIn4 after structural relaxation. Values from VASP.

Geometry as Quantum ESPRESSO input:
```
&SYSTEM
  ibrav = 0, nat = 10, ntyp = 3
/
ATOMIC_SPECIES
Ca 40.08 Ca.upf
In 114.82 In.upf
Cd 112.41 Cd.upf
ATOMIC_POSITIONS crystal
Ca 0.500 0.500 0.700
Ca 0.500 0.500 0.500
Ca 0.500 0.500 0.900
Ca 0.500 0.500 0.300
Ca 0.500 0.500 0.100
In 0.000 0.000 0.600
In 0.000 0.000 0.800
In 0.000 0.000 0.200
In 0.000 0.000 0.400
Cd 0.000 0.000 0.000
CELL_PARAMETERS angstrom
-3.200 2.192 -0.172
-2.130 -3.016 1.200
2.655 5.292 18.013
```

Calculated values
The formation enthalpy at 0 K comes out at -0.45 eV per atom.

***

Record 6
VASP calculation (PBE) on YAg2Os after structural relaxation. Values from VASP.

Geometry as Quantum ESPRESSO input:
```
&SYSTEM
  ibrav = 0, nat = 4, ntyp = 3
/
ATOMIC_SPECIES
Os 190.23 Os.upf
Ag 107.87 Ag.upf
Y 88.91 Y.upf
ATOMIC_POSITIONS crystal
Os 0.500 0.500 0.500
Ag 0.250 0.250 0.250
Ag 0.750 0.750 0.750
Y 0.000 0.000 0.000
CELL_PARAMETERS angstrom
-1.397 1.227 4.387
-4.325 1.877 0.685
-3.370 -2.530 2.222
```

Calculated values
The formation enthalpy at 0 K comes out at 0.33 eV per atom. The distance to the lowest polymorph of the same formula comes out at 158 meV per atom.

***

Record 7
VASP calculation (PBE) on BrO after structural relaxation. Values from VASP.

Geometry as Quantum ESPRESSO input:
```
&SYSTEM
  ibrav = 0, nat = 8, ntyp = 2
/
ATOMIC_SPECIES
Br 79.90 Br.upf
O 16.00 O.upf
ATOMIC_POSITIONS crystal
Br 0.750 0.405 0.156
Br 0.205 0.789 0.897
Br 0.181 0.750 0.420
Br 0.502 0.130 0.129
O 0.300 0.889 0.122
O 0.743 0.890 0.666
O 0.773 0.984 0.525
O 0.074 0.660 0.636
CELL_PARAMETERS angstrom
-0.593 5.864 0.175
-5.526 0.527 2.694
3.753 1.099 6.031
```

Calculated values
For the uncorrected formation energy, the calculation gives 0.189 eV/atom. The distance to the lowest polymorph of the same formula comes out at 46 meV per atom.

***

Record 8
VASP calculation (PBE) on Mg2FeRe after structural relaxation. Values from VASP.

Geometry as Quantum ESPRESSO input:
```
&SYSTEM
  ibrav = 0, nat = 4, ntyp = 3
/
ATOMIC_SPECIES
Fe 55.84 Fe.upf
Re 186.21 Re.upf
Mg 24.30 Mg.upf
ATOMIC_POSITIONS crystal
Fe 0.500 0.000 0.500
Re 0.500 0.500 0.000
Mg 0.000 0.500 0.500
Mg 0.000 0.000 0.000
CELL_PARAMETERS angstrom
-3.753 -0.476 -3.648
3.037 -4.232 0.867
-1.657 -1.576 1.333
```

Calculated values
The formation enthalpy at 0 K comes out at 0.32 eV per atom. The distance to the lowest polymorph of the same formula comes out at 198 meV per atom.

***

no.,size of the total moment (μB per atom),ρ (g/cm3),N(E_F) (states/eV/cell)
1,0.00,11.021,16.12
2,0.00,7.813,18.09
3,0.00,3.731,4.38
4,0.20,3.267,9.20
5,0.00,4.486,5.94
6,0.00,10.746,3.92
7,0.26,2.516,1.56
8,0.56,7.822,2.28